# 1
Computed, not measured: Tb2Ge2Ir3 after structural relaxation at the PBE-GGA level of DFT.

a b c (Å): 6.0390 3.9401 7.2324
angles (deg): 90.00 60.42 90.00
Atoms (fractional coordinates):
Tb1 0.3763 0.5000 0.7711
Tb2 0.6237 0.5000 0.2289
Ge1 0.2108 0.0000 0.2101
Ge2 0.7892 0.0000 0.7899
Ir1 0.2509 0.0000 0.5241
Ir2 0.0000 0.0000 0.0000
Ir3 0.7491 0.0000 0.4759

Values from the calculation:
The calculated density comes out at 11.54 g/cm³. Its size of the total moment is 0.00 μB per cell. The value obtained for the formation energy is -0.510 eV per atom.



# 2
Computed, not measured: YMg2Mo after structural relaxation at the PBE-GGA level of DFT.

a b c (Å): 3.1267 4.2787 6.3206
angles (deg): 90.00 90.00 90.00
Atoms (fractional coordinates):
Mg1 0.0000 0.0000 0.0338
Mg2 0.0000 0.0000 0.4662
Mo1 0.5000 0.5000 0.2500
Y1 0.5000 0.5000 0.7500

Values from the calculation:
The calculated density comes out at 4.58 g/cm³. Its size of the total moment is 0.00 μB per cell. The value obtained for the formation energy is 0.318 eV per atom. The calculation puts the energy above the most stable polymorph in this dataset at 0.036 eV/atom.



# 3
Computed, not measured: Cs2ThI5Br after structural relaxation at the PBE-GGA level of DFT.

a b c (Å): 8.6232 8.6232 8.6232
angles (deg): 91.33 119.24 119.24
Atoms (fractional coordinates):
Cs1 0.5000 0.2477 0.7477
Cs2 0.5000 0.7477 0.2477
Th1 0.0000 0.9956 0.9956
I1 0.5001 0.2493 0.2493
I2 0.4999 0.7491 0.7491
I3 0.0000 0.7491 0.2493
I4 0.0000 0.2493 0.7491
I5 0.0000 0.2507 0.2507
Br1 0.0000 0.7616 0.7616

Values from the calculation:
Its uncorrected formation energy is -1.495 eV per atom. The calculated density comes out at 4.39 g/cm³. Its size of the total moment is 0.00 μB per cell.



# 4
Computed, not measured: Ho7SnRh4 after structural relaxation at the PBE-GGA level of DFT.

a b c (Å): 5.5715 8.3416 7.2685
angles (deg): 74.58 67.46 70.49
Atoms (fractional coordinates):
Ho1 0.7895 0.8808 0.5402
Ho2 0.2105 0.1192 0.4598
Ho3 0.0731 0.6246 0.2291
Ho4 0.9269 0.3754 0.7709
Ho5 0.3159 0.6318 0.7364
Ho6 0.5000 0.0000 0.0000
Ho7 0.6841 0.3682 0.2636
Sn1 0.0000 0.0000 0.0000
Rh1 0.5665 0.2250 0.6420
Rh2 0.4335 0.7750 0.3580
Rh3 0.7045 0.6550 0.9360
Rh4 0.2955 0.3450 0.0640

Values from the calculation:
The calculated density comes out at 9.63 g/cm³. Its size of the total moment is 0.00 μB per cell. The value obtained for the formation energy is -0.500 eV per atom.



# 5
Computed, not measured: LaCr3Se after structural relaxation at the PBE-GGA level of DFT.

a b c (Å): 4.6675 4.6675 4.6675
angles (deg): 90.00 90.00 90.00
Atoms (fractional coordinates):
Cr1 0.0000 0.5000 0.0000
Cr2 0.0000 0.0000 0.5000
Cr3 0.5000 0.0000 0.0000
Se1 0.0000 0.0000 0.0000
La1 0.5000 0.5000 0.5000

Values from the calculation:
Its uncorrected formation energy is 0.535 eV per atom. The calculated density comes out at 6.11 g/cm³. Its size of the total moment is 7.28 μB per cell.



# 6
Computed, not measured: TmAlZnPd2 after structural relaxation at the PBE-GGA level of DFT.

a b c (Å): 5.3005 5.2584 7.1448
angles (deg): 111.59 90.00 90.00
Atoms (fractional coordinates):
Tm1 0.2253 0.7500 0.5000
Tm2 0.7747 0.2500 0.5000
Al1 0.5000 0.7500 0.0000
Al2 0.5000 0.2500 0.0000
Zn1 0.0000 0.0000 0.0000
Zn2 0.0000 0.5000 0.0000
Pd1 0.6992 0.8537 0.7074
Pd2 0.6992 0.6463 0.2926
Pd3 0.3008 0.3537 0.7074
Pd4 0.3008 0.1463 0.2926

Values from the calculation:
The calculated density comes out at 8.50 g/cm³. Its size of the total moment is 0.00 μB per cell. The value obtained for the formation energy is -0.635 eV per atom.



# 7
Computed, not measured: Pr8Tl after structural relaxation at the PBE-GGA level of DFT.

a b c (Å): 5.0899 8.2350 8.2350
angles (deg): 84.52 72.00 72.00
Atoms (fractional coordinates):
Pr1 0.3390 0.0000 0.3220
Pr2 0.6610 0.0000 0.6780
Pr3 0.6669 0.3331 0.3331
Pr4 0.3390 0.3220 0.0000
Pr5 0.0000 0.3331 0.6669
Pr6 0.6610 0.6780 0.0000
Pr7 0.3331 0.6669 0.6669
Pr8 0.0000 0.6669 0.3331
Tl1 0.0000 0.0000 0.0000

Values from the calculation:
The calculated density comes out at 7.08 g/cm³. Its size of the total moment is 0.00 μB per cell. The value obtained for the formation energy is -0.041 eV per atom. The calculation puts the energy above the most stable polymorph in this dataset at 0.000 eV/atom.



# 8
Computed, not measured: TlRhPb after structural relaxation at the PBE-GGA level of DFT.

a b c (Å): 6.7179 6.7179 6.7179
angles (deg): 151.39 151.39 40.90
Atoms (fractional coordinates):
Tl1 0.3064 0.3064 0.0000
Rh1 0.6654 0.6654 0.0000
Pb1 0.0282 0.0282 0.0000

Values from the calculation:
The calculated density comes out at 12.32 g/cm³. Its size of the total moment is 0.00 μB per cell. The value obtained for the formation energy is 0.066 eV per atom. The calculation puts the energy above the most stable polymorph in this dataset at 0.050 eV/atom.



Please write out number 8 again, unchanged.
Computed, not measured: TlRhPb after structural relaxation at the PBE-GGA level of DFT.

a b c (Å): 6.7179 6.7179 6.7179
angles (deg): 151.39 151.39 40.90
Atoms (fractional coordinates):
Tl1 0.3064 0.3064 0.0000
Rh1 0.6654 0.6654 0.0000
Pb1 0.0282 0.0282 0.0000

Values from the calculation:
The calculated density comes out at 12.32 g/cm³. Its size of the total moment is 0.00 μB per cell. The value obtained for the formation energy is 0.066 eV per atom. The calculation puts the energy above the most stable polymorph in this dataset at 0.050 eV/atom.



- What is the formula in the sixth record?
  TmAlZnPd2